PBE Ca2Ac6Pm, optimized geometry; total magnetic moment = 0.00 μB per cell; crystal system = hexagonal; E = -3.635 eV/atom; space group = P-6m2, No. 187
1.0
3.925 0.000 0.000
-1.962 3.399 0.000
0.000 0.000 29.386
Ca Ac Pm
2 6 1
Cartesian
0.000 0.000 5.073
0.000 0.000 24.313
0.000 0.000 11.629
0.000 0.000 17.757
1.962 1.133 1.865
1.962 1.133 8.362
1.962 1.133 21.024
1.962 1.133 27.521
1.962 1.133 14.693

PBE Ca2Ac9Pm, optimized geometry; total magnetic moment = 0.00 μB per cell; crystal system = tetragonal; E = -3.788 eV/atom; space group = P4/mmm, No. 123
1.0
5.577 0.000 0.000
0.000 5.577 0.000
0.000 0.000 16.731
Ca Ac Pm
2 9 1
Cartesian
0.000 0.000 2.810
0.000 0.000 13.921
0.000 2.789 0.000
0.000 2.789 5.652
0.000 2.789 11.079
2.789 0.000 0.000
2.789 0.000 5.652
2.789 0.000 11.079
2.789 2.789 2.807
2.789 2.789 8.365
2.789 2.789 13.924
0.000 0.000 8.365

PBE CaAc12Pm3, optimized geometry; total magnetic moment = 0.00 μB per cell; crystal system = tetragonal; E = -4.073 eV/atom; space group = P4/mmm, No. 123
1.0
5.552 0.000 0.000
0.000 5.552 0.000
0.000 0.000 22.150
Ca Ac Pm
1 12 3
Cartesian
0.000 0.000 0.000
0.000 2.776 2.846
0.000 2.776 8.319
0.000 2.776 13.830
0.000 2.776 19.304
2.776 0.000 2.846
2.776 0.000 8.319
2.776 0.000 13.830
2.776 0.000 19.304
2.776 2.776 0.000
2.776 2.776 5.567
2.776 2.776 11.075
2.776 2.776 16.583
0.000 0.000 5.550
0.000 0.000 11.075
0.000 0.000 16.600

PBE CaAc7Pm4, optimized geometry; total magnetic moment = 0.00 μB per cell; crystal system = triclinic; E = -4.110 eV/atom; space group = P-1, No. 2
1.0
6.751 0.000 0.000
0.028 7.789 0.000
2.198 0.112 9.403
Ca Ac Pm
1 7 4
Cartesian
0.000 0.000 0.000
0.014 3.895 0.000
2.265 0.045 3.184
3.369 2.090 6.219
5.554 5.902 9.345
3.423 1.998 0.057
5.608 5.811 3.184
6.712 7.856 6.218
2.235 3.942 3.134
3.348 5.860 6.240
5.629 2.041 3.163
6.742 3.959 6.269

PBE CaAc2Pm, optimized geometry; total magnetic moment = 0.00 μB per cell; crystal system = tetragonal; E = -3.711 eV/atom; space group = P4/mmm, No. 123
1.0
3.900 0.000 0.000
0.000 3.900 0.000
0.000 0.000 10.929
Ca Ac Pm
1 2 1
Cartesian
0.000 0.000 0.000
1.950 1.950 2.882
1.950 1.950 8.048
0.000 0.000 5.465

PBE CaAc2Pm3, optimized geometry; total magnetic moment = 0.00 μB per cell; crystal system = monoclinic; E = -4.033 eV/atom; space group = C2/m, No. 12
1.0
9.988 -1.904 0.000
9.988 1.904 0.000
-4.342 0.000 12.336
Ca Ac Pm
2 4 6
Cartesian
2.231 0.000 1.613
13.403 0.000 10.724
0.061 0.000 10.684
8.892 0.000 1.719
6.743 0.000 10.618
15.573 0.000 1.652
0.074 0.000 4.736
2.261 0.000 7.581
6.685 0.000 4.721
8.949 0.000 7.616
13.373 0.000 4.756
15.560 0.000 7.601